Record 1
# GGA-PBE Na2CrRhS, relaxed
data_Na2CrRhS
_chemical_formula_sum 'Na2 Cr1 Rh1 S1'
_cell_length_a 5.2578
_cell_length_b 5.2578
_cell_length_c 4.5345
_cell_angle_alpha 90.00
_cell_angle_beta 90.00
_cell_angle_gamma 90.00
_space_group_name_H-M_alt 'P 4/m m m'
_space_group_IT_number 123
_space_group_name_Hall '-P 4 2'
loop_
_atom_site_label
_atom_site_fract_x
_atom_site_fract_y
_atom_site_fract_z
Na1 0.0000 0.5000 0.0000
Cr1 0.0000 0.0000 0.5000
Rh1 0.0000 0.0000 0.0000
S1 0.5000 0.5000 0.5000
# Fermi-level density of states, states/eV per cell: 3.5

---

Record 2
# GGA-PBE Zn7Te5, relaxed
data_Zn7Te5
_chemical_formula_sum 'Zn14 Te10'
_cell_length_a 7.7119
_cell_length_b 7.7119
_cell_length_c 10.9778
_cell_angle_alpha 90.00
_cell_angle_beta 90.00
_cell_angle_gamma 90.00
_space_group_name_H-M_alt 'I 4 m m'
_space_group_IT_number 107
_space_group_name_Hall 'I 4 -2'
loop_
_atom_site_label
_atom_site_fract_x
_atom_site_fract_y
_atom_site_fract_z
Zn1 0.0000 0.0000 0.0000
Zn2 0.0000 0.3278 0.8264
Zn3 0.0000 0.5000 0.1133
Te1 0.0000 0.0000 0.7174
Te2 0.2471 0.2471 0.5049
# Fermi-level density of states, states/eV per cell: 5.8

---

Number 1: electronic total energy -4.105 eV/atom. Number 2: electronic total energy -2.076 eV/atom.